# 1
The following is a PBE calculation of a relaxed InCoCu crystal, from the Alexandria database.

a b c (Å): 4.146 4.146 4.146
angles (deg): 60.00 60.00 60.00
Element x y z (fractional)
1 Co 0.750 0.750 0.750
2 Cu 0.000 0.000 0.000
3 In 0.500 0.500 0.500

Magnetic moment   0.000 μB per atom
Formation energy from the elements   0.38 eV/atom

# 2
The following is a PBE calculation of a relaxed CrMoAs2 crystal, from the Alexandria database.

a b c (Å): 5.697 5.697 6.925
angles (deg): 65.71 65.71 90.00
Site moments in Bohr magnetons follow the coordinates.
Element x y z (fractional)
1 As 0.126 0.625 0.250  -0.12
2 As 0.624 0.125 0.250  -0.12
3 Mo 0.750 0.250 0.500  1.38
4 As 0.375 0.376 0.750  -0.12
5 Cr 0.250 0.750 0.500  3.10
6 Mo 0.000 0.000 0.000  1.38
7 Cr 0.500 0.500 0.000  3.11
8 As 0.875 0.874 0.750  -0.12

Magnetic moment   1.150 μB per atom
Formation energy from the elements   0.42 eV/atom

# 3
The following is a PBE calculation of a relaxed Tb4Tl2Pb crystal, from the Alexandria database.

a b c (Å): 8.139 8.141 8.148
angles (deg): 109.62 109.61 109.28
Element x y z (fractional)
1 Pb 0.250 0.750 0.500
2 Tb 0.019 0.269 0.395
3 Tb 0.376 0.481 0.250
4 Tb 0.231 0.126 0.750
5 Tl 0.747 0.875 0.373
6 Tb 0.376 0.981 0.251
7 Tl 0.625 0.253 0.128
8 Tb 0.875 0.623 0.605
9 Tl 0.503 0.375 0.628
10 Tb 0.731 0.126 0.750
11 Tb 0.873 0.625 0.105
12 Pb 0.000 0.000 0.000
13 Tb 0.519 0.769 0.894
14 Tl 0.125 0.497 0.873

Magnetic moment   0.000 μB per atom
Formation energy from the elements   -0.35 eV/atom

# 4
The following is a PBE calculation of a relaxed SrPuMnN4 crystal, from the Alexandria database.

a b c (Å): 5.662 5.377 7.087
angles (deg): 90.00 106.91 90.00
Site moments in Bohr magnetons follow the coordinates.
Element x y z (fractional)
1 Pu 0.236 0.250 0.557  4.44
2 Mn 0.776 0.250 0.683  0.84
3 Sr 0.293 0.250 0.076  0.01
4 N 0.571 0.250 0.828  -0.07
5 N 0.973 0.499 0.711  -0.10
6 N 0.973 0.001 0.711  -0.10
7 N 0.027 0.501 0.289  -0.10
8 N 0.581 0.250 0.446  -0.12
9 N 0.429 0.750 0.172  -0.07
10 N 0.027 0.999 0.289  -0.10
11 Sr 0.707 0.750 0.924  0.01
12 Pu 0.764 0.750 0.443  4.44
13 N 0.419 0.750 0.554  -0.12
14 Mn 0.224 0.750 0.317  0.84

Formation energy (no corrections)   -0.71 eV/atom
Magnetic moment   0.716 μB per atom

# 5
The following is a PBE calculation of a relaxed ScHg crystal, from the Alexandria database.

a b c (Å): 3.755 3.755 6.374
angles (deg): 90.00 90.00 90.00
Site moments in Bohr magnetons follow the coordinates.
Element x y z (fractional)
1 Hg 0.250 0.250 0.641  0.00
2 Sc 0.750 0.750 0.857  0.15
3 Sc 0.250 0.250 0.143  0.15
4 Hg 0.750 0.750 0.359  0.00

Magnetic moment   0.125 μB per atom
Formation energy from the elements   -0.29 eV/atom

# 6
The following is a PBE calculation of a relaxed BaZn2RhPb crystal, from the Alexandria database.

a b c (Å): 4.987 4.987 5.239
angles (deg): 90.00 90.00 90.00
Element x y z (fractional)
1 Ba 0.500 0.500 0.500
2 Pb 0.000 0.000 0.500
3 Zn 0.500 0.000 0.000
4 Zn 0.000 0.500 0.000
5 Rh 0.000 0.000 0.000

Magnetic moment   0.000 μB per atom
Formation energy from the elements   -0.28 eV/atom

# 7
The following is a PBE calculation of a relaxed Au3Br crystal, from the Alexandria database.

a b c (Å): 3.493 3.493 6.826
angles (deg): 90.00 90.00 90.00
Element x y z (fractional)
1 Br 0.500 0.500 0.750
2 Au 0.000 0.000 0.038
3 Au 0.500 0.500 0.250
4 Au 0.000 0.000 0.462

Formation energy (no corrections)   0.22 eV/atom
Magnetic moment   0.000 μB per atom

# 8
The following is a PBE calculation of a relaxed DyTmZnCu crystal, from the Alexandria database.

a b c (Å): 4.940 4.940 4.940
angles (deg): 60.00 60.00 60.00
Element x y z (fractional)
1 Zn 0.750 0.750 0.750
2 Dy 0.000 0.000 0.000
3 Tm 0.500 0.500 0.500
4 Cu 0.250 0.250 0.250

Magnetic moment   0.000 μB per atom
Formation energy from the elements   -0.30 eV/atom

# 9
The following is a PBE calculation of a relaxed LaY3Ru crystal, from the Alexandria database.

a b c (Å): 7.852 7.852 6.125
angles (deg): 90.00 90.00 129.47
Element x y z (fractional)
1 Y 0.570 0.937 0.250
2 La 0.419 0.581 0.750
3 La 0.581 0.419 0.250
4 Ru 0.831 0.169 0.750
5 Y 0.000 0.000 0.500
6 Y 0.000 0.000 0.000
7 Y 0.430 0.063 0.750
8 Y 0.937 0.570 0.750
9 Y 0.063 0.430 0.250
10 Ru 0.169 0.831 0.250

Magnetic moment   0.000 μB per atom
Formation energy from the elements   0.00 eV/atom

# 10
The following is a PBE calculation of a relaxed VSn3Pd12 crystal, from the Alexandria database.

a b c (Å): 4.003 4.003 16.011
angles (deg): 90.00 90.00 90.00
Site moments in Bohr magnetons follow the coordinates.
Element x y z (fractional)
1 Pd 0.500 0.000 0.373  0.00
2 Pd 0.500 0.500 0.245  -0.01
3 Pd 0.000 0.500 0.117  -0.03
4 Pd 0.500 0.000 0.627  0.00
5 Sn 0.000 0.000 0.753  0.00
6 V 0.000 0.000 0.000  1.18
7 Sn 0.000 0.000 0.247  0.00
8 Pd 0.500 0.000 0.883  -0.03
9 Pd 0.000 0.500 0.627  0.00
10 Pd 0.000 0.500 0.373  0.00
11 Pd 0.500 0.500 0.755  -0.01
12 Pd 0.000 0.500 0.883  -0.03
13 Pd 0.500 0.000 0.117  -0.03
14 Pd 0.500 0.500 0.000  -0.05
15 Pd 0.500 0.500 0.500  -0.01
16 Sn 0.000 0.000 0.500  0.00

Magnetic moment   0.064 μB per atom
Formation energy from the elements   -0.43 eV/atom

# 11
The following is a PBE calculation of a relaxed Sr2TaMn crystal, from the Alexandria database.

a b c (Å): 11.224 11.224 11.224
angles (deg): 17.23 17.23 17.23
Site moments in Bohr magnetons follow the coordinates.
Element x y z (fractional)
1 Ta 0.250 0.250 0.250  0.10
2 Sr 0.000 0.000 0.000  -0.07
3 Mn 0.750 0.750 0.750  3.89
4 Sr 0.500 0.500 0.500  -0.07

Magnetic moment   0.969 μB per atom
Formation energy from the elements   1.09 eV/atom

# 12
The following is a PBE calculation of a relaxed Cs2Cu2Ir crystal, from the Alexandria database.

a b c (Å): 6.824 6.824 6.044
angles (deg): 55.63 55.63 90.00
Site moments in Bohr magnetons follow the coordinates.
Element x y z (fractional)
1 Cu 0.338 0.338 0.325  0.06
2 Cu 0.662 0.662 0.675  0.06
3 Cs 0.750 0.250 0.500  -0.01
4 Ir 0.000 0.000 0.000  0.95
5 Cs 0.250 0.750 0.500  -0.01

Magnetic moment   0.200 μB per atom
Formation energy from the elements   0.84 eV/atom